Compound: LaAsIrAu
Source: the Open Quantum Materials Database
Functional: GGA-PBE
Structure: relaxed

Properties
The theoretical density is 11.9 g cm⁻³. For the energy relative to the lowest polymorph listed for this composition, the calculation gives 118 meV/atom. The total magnetic moment is 0.00 Bohr magnetons per cell.

Unit cell a=4.917 b=4.917 c=4.917 alpha=60.00 beta=60.00 gamma=60.00
Element x y z (fractional)
La  0.500  0.500  0.500
Au  0.750  0.750  0.750
Ir  0.250  0.250  0.250
As  0.000  0.000  0.000



Compound: LiNiSnB
Source: the Open Quantum Materials Database
Functional: GGA-PBE
Structure: relaxed

Properties
The theoretical density is 6.1 g cm⁻³. For the energy relative to the lowest polymorph listed for this composition, the calculation gives 84 meV/atom. The total magnetic moment is 0.00 Bohr magnetons per cell.

Unit cell a=4.220 b=4.220 c=4.220 alpha=60.00 beta=60.00 gamma=60.00
Element x y z (fractional)
Li  0.750  0.750  0.750
Ni  0.500  0.500  0.500
B  0.000  0.000  0.000
Sn  0.250  0.250  0.250



Compound: LaNbSiIr2
Source: the Open Quantum Materials Database
Functional: GGA-PBE
Structure: relaxed

Properties
The total energy comes out at -8.226 eV/atom. The theoretical density is 11.0 g cm⁻³. The total magnetic moment is 0.00 Bohr magnetons per cell.

Unit cell a=6.216 b=6.216 c=6.216 alpha=140.20 beta=140.20 gamma=57.55
Element x y z (fractional)
Ir  0.746  0.246  0.500
Ir  0.246  0.746  0.500
Nb  0.378  0.378  0.000
Si  0.621  0.621  0.000
La  0.008  0.008  0.000



Compound: Sr7Pt3
Source: the Open Quantum Materials Database
Functional: GGA-PBE
Structure: relaxed

Properties
The theoretical density is 5.8 g cm⁻³. For the energy relative to the lowest polymorph listed for this composition, the calculation gives 0 meV/atom. The total magnetic moment is 0.00 Bohr magnetons per cell.

Unit cell a=7.957 b=24.339 c=7.125 alpha=90.00 beta=90.00 gamma=90.00
Element x y z (fractional)
Sr  0.676  0.250  0.646
Sr  0.324  0.750  0.354
Pt  0.879  0.595  0.963
Sr  0.820  0.174  0.183
Sr  0.331  0.022  0.323
Pt  0.879  0.905  0.963
Pt  0.621  0.405  0.463
Sr  0.169  0.522  0.823
Sr  0.680  0.674  0.683
Pt  0.522  0.250  0.035
Pt  0.621  0.095  0.463
Pt  0.478  0.750  0.965
Sr  0.169  0.978  0.823
Sr  0.180  0.674  0.817
Pt  0.978  0.750  0.535
Sr  0.542  0.618  0.152
Sr  0.680  0.826  0.683
Sr  0.669  0.522  0.677
Sr  0.458  0.382  0.848
Pt  0.379  0.595  0.537
Sr  0.958  0.118  0.652
Sr  0.831  0.478  0.177
Sr  0.958  0.382  0.652
Sr  0.669  0.978  0.677
Pt  0.022  0.250  0.465
Sr  0.320  0.326  0.317
Sr  0.320  0.174  0.317
Sr  0.331  0.478  0.323
Sr  0.820  0.326  0.183
Sr  0.176  0.250  0.854
Sr  0.458  0.118  0.848
Sr  0.042  0.618  0.348
Sr  0.042  0.882  0.348
Sr  0.180  0.826  0.817
Sr  0.831  0.022  0.177
Sr  0.542  0.882  0.152
Sr  0.824  0.750  0.146
Pt  0.379  0.905  0.537
Pt  0.121  0.095  0.037
Pt  0.121  0.405  0.037



Compound: MgFeCoPb
Source: the Open Quantum Materials Database
Functional: GGA-PBE
Structure: relaxed

Properties
The theoretical density is 9.5 g cm⁻³. For the energy relative to the lowest polymorph listed for this composition, the calculation gives 0 meV/atom. The total magnetic moment is 2.58 Bohr magnetons per cell.

Unit cell a=4.403 b=4.403 c=4.403 alpha=60.00 beta=60.00 gamma=60.00
Each line ends with the local moment (μB).
Element x y z (fractional)
Co  0.750  0.750  0.750  0.70
Pb  0.000  0.000  0.000  -0.05
Mg  0.500  0.500  0.500  -0.03
Fe  0.250  0.250  0.250  2.05



Compound: NaSmFeSe3
Source: the Open Quantum Materials Database
Functional: GGA-PBE
Structure: relaxed

Properties
The theoretical density is 5.2 g cm⁻³. For the energy relative to the lowest polymorph listed for this composition, the calculation gives 133 meV/atom. The total magnetic moment is 8.00 Bohr magnetons per cell.

Unit cell a=9.156 b=9.156 c=8.263 alpha=104.97 beta=104.97 gamma=26.23
Each line ends with the local moment (μB).
Element x y z (fractional)
Se  0.000  0.000  0.500  0.13
Se  0.663  0.663  0.832  0.07
Sm  0.173  0.173  0.602  0.02
Na  0.131  0.131  0.070  0.00
Fe  0.514  0.514  0.715  3.35
Sm  0.827  0.827  0.398  0.02
Na  0.869  0.869  0.930  0.00
Se  0.660  0.660  0.349  0.05
Se  0.340  0.340  0.651  0.05
Se  0.337  0.337  0.168  0.07
Se  0.500  0.500  0.000  0.24
Fe  0.486  0.486  0.285  3.35



What did the fifth record say?
Compound: MgFeCoPb
Source: the Open Quantum Materials Database
Functional: GGA-PBE
Structure: relaxed

Properties
The theoretical density is 9.5 g cm⁻³. For the energy relative to the lowest polymorph listed for this composition, the calculation gives 0 meV/atom. The total magnetic moment is 2.58 Bohr magnetons per cell.

Unit cell a=4.403 b=4.403 c=4.403 alpha=60.00 beta=60.00 gamma=60.00
Each line ends with the local moment (μB).
Element x y z (fractional)
Co  0.750  0.750  0.750  0.70
Pb  0.000  0.000  0.000  -0.05
Mg  0.500  0.500  0.500  -0.03
Fe  0.250  0.250  0.250  2.05



Please write out number 4 again, unchanged.
Compound: Sr7Pt3
Source: the Open Quantum Materials Database
Functional: GGA-PBE
Structure: relaxed

Properties
The theoretical density is 5.8 g cm⁻³. For the energy relative to the lowest polymorph listed for this composition, the calculation gives 0 meV/atom. The total magnetic moment is 0.00 Bohr magnetons per cell.

Unit cell a=7.957 b=24.339 c=7.125 alpha=90.00 beta=90.00 gamma=90.00
Element x y z (fractional)
Sr  0.676  0.250  0.646
Sr  0.324  0.750  0.354
Pt  0.879  0.595  0.963
Sr  0.820  0.174  0.183
Sr  0.331  0.022  0.323
Pt  0.879  0.905  0.963
Pt  0.621  0.405  0.463
Sr  0.169  0.522  0.823
Sr  0.680  0.674  0.683
Pt  0.522  0.250  0.035
Pt  0.621  0.095  0.463
Pt  0.478  0.750  0.965
Sr  0.169  0.978  0.823
Sr  0.180  0.674  0.817
Pt  0.978  0.750  0.535
Sr  0.542  0.618  0.152
Sr  0.680  0.826  0.683
Sr  0.669  0.522  0.677
Sr  0.458  0.382  0.848
Pt  0.379  0.595  0.537
Sr  0.958  0.118  0.652
Sr  0.831  0.478  0.177
Sr  0.958  0.382  0.652
Sr  0.669  0.978  0.677
Pt  0.022  0.250  0.465
Sr  0.320  0.326  0.317
Sr  0.320  0.174  0.317
Sr  0.331  0.478  0.323
Sr  0.820  0.326  0.183
Sr  0.176  0.250  0.854
Sr  0.458  0.118  0.848
Sr  0.042  0.618  0.348
Sr  0.042  0.882  0.348
Sr  0.180  0.826  0.817
Sr  0.831  0.022  0.177
Sr  0.542  0.882  0.152
Sr  0.824  0.750  0.146
Pt  0.379  0.905  0.537
Pt  0.121  0.095  0.037
Pt  0.121  0.405  0.037



What is the theoretical density in the third record?
11.0 g cm⁻³